DFT (PBE) results for an optimized crystal structure of BaSiW2.

Properties
Space group ... No. 119
Fermi-level density of states ... 2.92 states/eV per cell
Uncorrected formation energy ... 1298 meV/atom

abc: 4.8530 4.8530 4.8530
angles: 119.78 119.78 90.38
Positions (direct):
Ba  0.0000  0.0000  0.0000
Si  0.7500  0.2500  0.5000
W  0.2500  0.7500  0.5000
W  0.5000  0.5000  0.0000

***

DFT (PBE) results for an optimized crystal structure of NbGe2PdAu.

Properties
Space group ... No. 123
Fermi-level density of states ... 4.47 states/eV per cell
Formation enthalpy at 0 K ... 0.83 eV per atom

abc: 4.9504 4.9504 5.0940
angles: 90.00 90.00 90.00
Positions (direct):
Nb  0.0000  0.0000  0.0000
Ge  0.0000  0.5000  0.0000
Ge  0.5000  0.0000  0.0000
Pd  0.5000  0.5000  0.5000
Au  0.0000  0.0000  0.5000

***

DFT (PBE) results for an optimized crystal structure of Hf2TaRePd.

Properties
Space group ... No. 123
Fermi-level density of states ... 5.77 states/eV per cell
Formation enthalpy at 0 K ... 1.16 eV per atom

abc: 4.9457 4.9457 4.7609
angles: 90.00 90.00 90.00
Positions (direct):
Hf  0.0000  0.5000  0.0000
Hf  0.5000  0.0000  0.0000
Ta  0.0000  0.0000  0.5000
Re  0.5000  0.5000  0.0000
Pd  0.5000  0.5000  0.5000

***

DFT (PBE) results for an optimized crystal structure of PmInSi2Au6.

Properties
Space group ... No. 148
Fermi-level density of states ... 4.87 states/eV per cell
Uncorrected formation energy ... -65 meV/atom

abc: 8.7946 8.7946 8.7946
angles: 39.26 39.26 39.26
Positions (direct):
Pm  0.0000  0.0000  0.0000
In  0.5000  0.5000  0.5000
Si  0.3343  0.3343  0.3343
Si  0.6657  0.6657  0.6657
Au  0.0694  0.5269  0.6290
Au  0.3710  0.9306  0.4731
Au  0.4731  0.3710  0.9306
Au  0.5269  0.6290  0.0694
Au  0.6290  0.0694  0.5269
Au  0.9306  0.4731  0.3710

***

no.,total magnetic moment (μB/atom)
1,0.08
2,0.00
3,0.22
4,0.00